# 1
## Ba3TeBr (SCAN)

Data for a crystal of Ba3TeBr relaxed with PBEsol.

Results
**DOS at the Fermi energy**: 1.16 states/eV per atom
**Total energy**: -35.939 eV per atom

Lattice parameters (Å, degrees): 6.5235 6.5235 6.5235 90.00 90.00 90.00
Closest atoms and distances in Å follow each position.
Space group Pm-3m (No. 221)
One atom of each set of equivalent atoms:
1 Ba 0.0000 0.0000 0.5000 x3  2 Te 3.26
2 Te 0.0000 0.0000 0.0000 x1  6 Ba 3.26
3 Br 0.5000 0.5000 0.5000 x1  12 Ba 4.61



# 2
## BaTeBr3 (SCAN)

Data for a crystal of BaTeBr3 relaxed with PBEsol.

Results
**Excess energy over the best structure of this formula in the dataset**: 0.0 meV/atom

Lattice parameters (Å, degrees): 6.1778 6.1778 6.1778 90.00 90.00 90.00
Closest atoms and distances in Å follow each position.
Space group Pm-3m (No. 221)
One atom of each set of equivalent atoms:
1 Ba 0.0000 0.0000 0.0000 x1  6 Br 3.09
2 Te 0.5000 0.5000 0.5000 x1  12 Br 4.37
3 Br 0.0000 0.0000 0.5000 x3  2 Ba 3.09



# 3
## BaTeBr3 (SCAN)

Data for a crystal of BaTeBr3 relaxed with PBEsol.

Results
**Excess energy over the best structure of this formula in the dataset**: 72.7 meV/atom
**DOS at the Fermi energy**: 0.51 states/eV per atom

Lattice parameters (Å, degrees): 5.8001 5.8001 5.8001 90.00 90.00 90.00
Closest atoms and distances in Å follow each position.
Space group Pm-3m (No. 221)
One atom of each set of equivalent atoms:
1 Ba 0.0000 0.0000 0.0000 x1  12 Br 4.10
2 Te 0.5000 0.5000 0.5000 x1  6 Br 2.90
3 Br 0.0000 0.5000 0.5000 x3  2 Te 2.90



# 4
## Ba3TiBr (SCAN)

Data for a crystal of Ba3TiBr relaxed with PBEsol.

Results
**Excess energy over the best structure of this formula in the dataset**: 0.0 meV/atom
**DOS at the Fermi energy**: 1.20 states/eV per atom

Lattice parameters (Å, degrees): 6.1497 6.1497 6.1497 90.00 90.00 90.00
Closest atoms and distances in Å follow each position.
Space group Pm-3m (No. 221)
One atom of each set of equivalent atoms:
1 Ba 0.0000 0.0000 0.5000 x3  2 Br 3.07
2 Ti 0.5000 0.5000 0.5000 x1  12 Ba 4.35
3 Br 0.0000 0.0000 0.0000 x1  6 Ba 3.07